Density functional theory data (GGA+U) for CsV4Cd3O12 after structural relaxation.

Cell: 7.4229 7.4229 7.4229 Å, 110.67 110.67 110.67°
Fractional coordinates of all 20 atoms:
Cs  0.0000  0.0000  0.0000
V  0.0747  0.5000  0.9253
V  0.5000  0.5000  0.5000
V  0.5000  0.9253  0.0747
V  0.9253  0.0747  0.5000
Cd  0.0000  0.5669  0.4331
Cd  0.4331  0.0000  0.5669
Cd  0.5669  0.4331  0.0000
O  0.0698  0.9302  0.5000
O  0.1399  0.6602  0.7958
O  0.2042  0.3398  0.8601
O  0.3398  0.8601  0.2042
O  0.3581  0.6419  0.5000
O  0.5000  0.0698  0.9302
O  0.5000  0.3581  0.6419
O  0.6419  0.5000  0.3581
O  0.6602  0.7958  0.1399
O  0.7958  0.1399  0.6602
O  0.8601  0.2042  0.3398
O  0.9302  0.5000  0.0698

Energy, eV per atom: -6.0963
Space group: No. 155
DOS at the Fermi energy, states/eV/f.u.: 6.52